# InOsPt2 | the Alexandria database | GGA-PBE | relaxed
# Energy in eV per atom: -6.399
# V in A^3/atom: 16.28
data_InOsPt2
_chemical_formula_sum 'In1 Os1 Pt2'
_cell_length_a 3.9682
_cell_length_b 3.9682
_cell_length_c 4.1351
_cell_angle_alpha 90.00
_cell_angle_beta 90.00
_cell_angle_gamma 90.00
_symmetry_space_group_name_H-M 'P 4/m m m'
_symmetry_Int_Tables_number 123
_symmetry_space_group_name_Hall '-P 4 2'
loop_
_atom_site_label
_atom_site_type_symbol
_atom_site_fract_x
_atom_site_fract_y
_atom_site_fract_z
In1 In 0.0000 0.0000 0.0000
Os1 Os 0.5000 0.5000 0.0000
Pt1 Pt 0.0000 0.5000 0.5000